# Gd2DyO3

An optimized crystal structure of Gd2DyO3 (PBE-GGA, the Open Quantum Materials Database).

Cell lengths 3.421, 3.421, 8.358 Å; angles 90.00, 90.00, 120.00 degrees
Positions (direct):
Gd 0.333 0.667 0.167
Gd 0.667 0.333 0.833
Dy 0.000 0.000 0.500
O 0.000 0.000 0.000
O 0.333 0.667 0.658
O 0.667 0.333 0.342

Energy (eV per atom): -7.591

# Gd2DyO4

An optimized crystal structure of Gd2DyO4 (PBE-GGA, the Open Quantum Materials Database).

Cell lengths 6.805, 6.805, 6.805 Å; angles 60.00, 60.00, 60.00 degrees
Positions (direct):
Gd 0.000 0.000 0.000
Gd 0.000 0.000 0.500
Gd 0.000 0.500 0.000
Gd 0.500 0.000 0.000
Dy 0.375 0.375 0.375
Dy 0.625 0.625 0.625
O 0.233 0.756 0.756
O 0.244 0.244 0.244
O 0.244 0.244 0.767
O 0.244 0.767 0.244
O 0.756 0.233 0.756
O 0.756 0.756 0.233
O 0.756 0.756 0.756
O 0.767 0.244 0.244

Energy (eV per atom): -8.016

# GdDyO2

An optimized crystal structure of GdDyO2 (PBE-GGA, the Open Quantum Materials Database).

Cell lengths 3.410, 3.410, 4.823 Å; angles 90.00, 90.00, 90.00 degrees
Positions (direct):
Gd 0.000 0.000 0.000
Dy 0.500 0.500 0.500
O 0.000 0.000 0.500
O 0.500 0.500 0.000

Energy (eV per atom): -7.581

# Rb2GdDyO4

An optimized crystal structure of Rb2GdDyO4 (PBE-GGA, the Open Quantum Materials Database).

Cell lengths 3.495, 3.495, 12.921 Å; angles 90.00, 90.00, 120.00 degrees
Positions (direct):
Rb 0.333 0.667 0.249
Rb 0.667 0.333 0.751
Gd 0.000 0.000 0.500
Dy 0.000 0.000 0.000
O 0.333 0.667 0.591
O 0.333 0.667 0.912
O 0.667 0.333 0.088
O 0.667 0.333 0.409

Energy (eV per atom): -6.552

# GdDyOs

An optimized crystal structure of GdDyOs (PBE-GGA, the Open Quantum Materials Database).

Cell lengths 6.683, 6.683, 6.683 Å; angles 90.00, 90.00, 90.00 degrees
Positions (direct):
Gd 0.000 0.000 0.000
Gd 0.000 0.500 0.500
Gd 0.500 0.000 0.500
Gd 0.500 0.500 0.000
Dy 0.250 0.250 0.250
Dy 0.250 0.750 0.750
Dy 0.750 0.250 0.750
Dy 0.750 0.750 0.250
Os 0.000 0.000 0.500
Os 0.000 0.500 0.000
Os 0.500 0.000 0.000
Os 0.500 0.500 0.500

Calculated formation energy (eV per atom): 0.704
Energy relative to the lowest polymorph listed for this composition (eV/f.u.): 0.000

# GdDy2Sc3OsS2

An optimized crystal structure of GdDy2Sc3OsS2 (PBE-GGA, the Open Quantum Materials Database).

Cell lengths 3.883, 7.515, 7.515 Å; angles 119.74, 90.00, 90.00 degrees
Positions (direct):
Gd 0.000 0.000 0.000
Dy 0.000 0.178 0.588
Dy 0.000 0.588 0.178
Sc 0.500 0.342 0.342
Sc 0.500 0.589 0.831
Sc 0.500 0.831 0.589
Os 0.000 0.581 0.581
S 0.500 0.255 0.921
S 0.500 0.921 0.255

Energy (eV per atom): -6.709